This record from Alexandria via LeMat-Bulk describes BeInNi at its PBEsol-relaxed geometry. The functional is SCAN.

abc: 2.8636 2.8636 5.9102
angles: 90.00 90.00 120.00
Last column: nearest neighbours and their distance in Å.
Element x y z (fractional)
Be: 0.0000 0.0000 0.0000  3 Ni 2.22
In: 0.3333 0.6667 0.6126  3 Ni 2.70, 3 Be 2.82, 6 In 2.86
Ni: 0.6667 0.3333 0.2507  3 Be 2.22

Output
The formation energy comes out at 0.29 eV per atom. The crystal system is trigonal.



This record from Alexandria via LeMat-Bulk describes Pr3Y at its PBEsol-relaxed geometry. The functional is SCAN.

abc: 7.2473 7.2473 5.8492
angles: 90.00 90.00 120.00
Last column: nearest neighbours and their distance in Å.
Element x y z (fractional)
Pr: 0.1670 0.3340 0.2500  4 Y 3.59-3.62, 8 Pr 3.60-3.63
Pr: 0.1670 0.8330 0.2500  4 Y 3.59-3.62, 8 Pr 3.60-3.63
Pr: 0.3340 0.1670 0.7500  4 Y 3.59-3.62, 8 Pr 3.60-3.63
Pr: 0.6660 0.8330 0.2500  4 Y 3.59-3.62, 8 Pr 3.60-3.63
Pr: 0.8330 0.1670 0.7500  4 Y 3.59-3.62, 8 Pr 3.60-3.63
Pr: 0.8330 0.6660 0.7500  4 Y 3.59-3.62, 8 Pr 3.60-3.63
Y: 0.3333 0.6667 0.7500  12 Pr 3.59-3.62
Y: 0.6667 0.3333 0.2500  12 Pr 3.59-3.62

Output
The formation energy comes out at 0.03 eV per atom. The crystal system is hexagonal.



This record from Alexandria via LeMat-Bulk describes TcRuSe2N at its PBEsol-relaxed geometry. The functional is SCAN.

abc: 4.9495 4.9495 3.5680
angles: 90.00 90.00 90.00
Last column: nearest neighbours and their distance in Å.
Element x y z (fractional)
Tc: 0.0000 0.0000 0.0000  8 Se 3.05
Ru: 0.5000 0.5000 0.5000  2 N 1.78
Se: 0.0000 0.5000 0.5000  2 Ru 2.47
Se: 0.5000 0.0000 0.5000  2 Ru 2.47
N: 0.5000 0.5000 0.0000  2 Ru 1.78

Output
The calculation puts the total energy at -115.733 eV/f.u. The crystal system is tetragonal.



This record from Alexandria via LeMat-Bulk describes CdSi2TeS at its PBEsol-relaxed geometry. The functional is SCAN.

abc: 5.0680 5.0680 4.7317
angles: 90.00 90.00 90.00
Last column: nearest neighbours and their distance in Å.
Element x y z (fractional)
Cd: 0.0000 0.0000 0.0000  2 S 2.37, 4 Si 2.53
Si: 0.0000 0.5000 0.0000  2 Cd 2.53
Si: 0.5000 0.0000 0.0000  2 Cd 2.53
Te: 0.5000 0.5000 0.5000  8 Si 3.47, 4 S 3.58
S: 0.0000 0.0000 0.5000  2 Cd 2.37

Output
The calculation puts the total energy at -92.024 eV/f.u. The crystal system is tetragonal.



Here are the calculated magnetic moment numbers, same order: 0.0; 0.0; 3.6; 0.0 (Bohr magnetons per cell).
Here are the calculated density numbers, same order: 7.2; 6.4; 7.0; 4.5 (g/cm³).